[1]
Zr2AgPt | PBE | relaxed

Cell and atoms, written as POSCAR:
```
Zr2AgPt
1.0
-3.598 1.857 2.371
-4.680 0.224 0.240
-0.591 -4.806 3.981
Zr Pt Ag
2 1 1
direct
0.999 0.999 0.014 Zr
0.501 0.501 0.486 Zr
0.250 0.250 0.250 Pt
0.750 0.750 0.750 Ag
```

## Properties
- Space group: No. 12



[2]
ZrAgPt2 | PBE | relaxed

Cell and atoms, written as POSCAR:
```
ZrAgPt2
1.0
2.933 0.000 0.000
0.000 4.228 0.000
0.000 0.000 5.615
Zr Pt Ag
1 2 1
direct
0.000 0.000 0.486 Zr
0.500 0.500 0.260 Pt
0.000 0.000 0.988 Pt
0.500 0.500 0.767 Ag
```

## Properties
- Space group: No. 25



[3]
Zr2AgPt | PBE | relaxed

Cell and atoms, written as POSCAR:
```
Zr2AgPt
1.0
-4.467 1.488 -1.504
-0.064 -2.198 -1.985
-2.233 -3.136 3.530
Zr Ag Pt
2 1 1
direct
0.500 0.127 0.325 Zr
0.000 0.123 0.921 Zr
0.000 0.625 0.441 Ag
0.500 0.624 0.813 Pt
```

## Properties
- Space group: No. 6



| no. | DOS at the Fermi energy (states/eV/atom) | calculated formation energy (meV/atom) |
| --- | --- | --- |
| 1 | 1.0956 | -224 |
| 2 | 0.5430 | -502 |
| 3 | 0.6466 | -487 |